Model w:
{"formula": "MoP2W", "functional": "GGA-PBE", "state": "relaxed", "lattice_angstrom": [[5.4503, 0.0000, 0.0000], [0.0000, 5.4503, 0.0000], [2.7252, 2.7252, 5.3910]], "species": ["P", "P", "P", "P", "Mo", "Mo", "W", "W"], "fractional_positions": [[0.6272, 0.1250, 0.2500], [0.1228, 0.6250, 0.2500], [0.3750, 0.3728, 0.7500], [0.8750, 0.8772, 0.7500], [0.5000, 0.5000, 0.0000], [0.2500, 0.7500, 0.5000], [0.0000, 0.0000, 0.0000], [0.7500, 0.2500, 0.5000]]}


Model x:
{"formula": "MoP2W", "functional": "GGA-PBE", "state": "relaxed", "lattice_angstrom": [[-1.5225, 1.7109, 1.9559], [-2.5548, -0.5714, -1.4889], [-0.9494, -4.8235, 3.4803]], "species": ["Mo", "P", "P", "W"], "fractional_positions": [[0.5000, 0.5000, 0.7500], [0.0000, 0.0000, 0.0006], [0.0000, 0.0000, 0.4994], [0.5000, 0.5000, 0.2500]]}


Model y:
{"formula": "MoP2W", "functional": "GGA-PBE", "state": "relaxed", "lattice_angstrom": [[4.7932, 0.0064, -0.0113], [1.1918, 4.6426, 0.0113], [-2.2095, -3.3325, 2.6433]], "species": ["Mo", "P", "P", "W"], "fractional_positions": [[0.2500, 0.7500, 0.5000], [0.9992, 0.9992, 0.0000], [0.5008, 0.5008, 0.0000], [0.7500, 0.2500, 0.5000]]}


Model z:
{"formula": "MoP2W", "functional": "GGA-PBE", "state": "relaxed", "lattice_angstrom": [[0.0000, 3.0116, 3.0116], [3.0116, 0.0000, 3.0116], [3.0116, 3.0116, 0.0000]], "species": ["P", "P", "Mo", "W"], "fractional_positions": [[0.2500, 0.2500, 0.2500], [0.7500, 0.7500, 0.7500], [0.0000, 0.0000, 0.0000], [0.5000, 0.5000, 0.5000]]}


The most stable of them is model x.


Model w:
{"formula": "MoP2W", "functional": "GGA-PBE", "state": "relaxed", "lattice_angstrom": [[-2.0015, 2.0188, -7.1545], [-1.5168, -0.9570, -7.4868], [-4.1909, 0.0385, -6.4578]], "species": ["Mo", "P", "P", "W"], "fractional_positions": [[0.7422, 0.7422, 0.7422], [0.9999, 0.9999, 0.9999], [0.2504, 0.2504, 0.2504], [0.5076, 0.5076, 0.5076]]}


Model x:
{"formula": "MoP2W", "functional": "GGA-PBE", "state": "relaxed", "lattice_angstrom": [[4.5287, -0.0025, -0.0002], [3.4540, 2.9290, -0.0002], [1.1227, 0.4116, 4.2401]], "species": ["Mo", "P", "P", "W"], "fractional_positions": [[0.2603, 0.2603, 0.1825], [0.9968, 0.9968, 0.0438], [0.7531, 0.7531, 0.7058], [0.4899, 0.4899, 0.5679]]}


The most stable of them is model x.


Model w:
{"formula": "MoP2W", "functional": "GGA-PBE", "state": "relaxed", "lattice_angstrom": [[2.7830, 0.0030, 0.0000], [-0.8879, 2.6375, 0.0000], [0.0000, 0.0000, 9.5066]], "species": ["Mo", "P", "P", "W"], "fractional_positions": [[0.5000, 0.5000, 0.7465], [0.0000, 0.0000, 0.9381], [0.5000, 0.5000, 0.3104], [0.0000, 0.0000, 0.5050]]}


Model x:
{"formula": "MoP2W", "functional": "GGA-PBE", "state": "relaxed", "lattice_angstrom": [[-2.6941, -1.6594, 0.0401], [1.2372, -2.0584, -2.0606], [1.9641, -3.0857, 4.2616]], "species": ["Mo", "P", "P", "W"], "fractional_positions": [[0.5000, 0.5000, 0.8013], [0.0000, 0.0000, 0.9863], [0.5000, 0.5000, 0.2624], [0.0000, 0.0000, 0.4501]]}


The most stable of them is model x.


Model w:
{"formula": "MoP2W", "functional": "GGA-PBE", "state": "relaxed", "lattice_angstrom": [[3.1352, 0.0000, 0.0000], [0.0000, 3.0369, -0.0647], [0.0000, 0.1582, 6.3417]], "species": ["Mo", "P", "P", "W"], "fractional_positions": [[0.5000, 0.7500, 0.7500], [0.0000, 0.2484, 0.9597], [0.0000, 0.2516, 0.5403], [0.5000, 0.2500, 0.2500]]}


Model x:
{"formula": "MoP2W", "functional": "GGA-PBE", "state": "relaxed", "lattice_angstrom": [[3.1174, 0.0000, 0.0000], [0.0000, 4.9617, 0.0000], [0.0000, 0.0000, 3.8019]], "species": ["Mo", "P", "P", "W"], "fractional_positions": [[0.0000, 0.5000, 0.5000], [0.0000, 0.0000, 0.0000], [0.5000, 0.5000, 0.0000], [0.5000, 0.0000, 0.5000]]}


Model y:
{"formula": "MoP2W", "functional": "GGA-PBE", "state": "relaxed", "lattice_angstrom": [[4.6599, 0.0040, 0.0000], [1.3336, 4.4650, 0.0000], [-2.9968, -2.2345, 2.7823]], "species": ["Mo", "P", "P", "W"], "fractional_positions": [[0.7500, 0.2500, 0.5000], [0.0000, 0.0000, 0.0000], [0.2500, 0.7500, 0.5000], [0.5000, 0.5000, 0.0000]]}


Model z:
{"formula": "MoP2W", "functional": "GGA-PBE", "state": "relaxed", "lattice_angstrom": [[-3.6307, -2.0107, -3.5961], [1.2592, -2.9524, -4.4559], [0.2719, 0.6060, 5.4512]], "species": ["Mo", "P", "P", "W"], "fractional_positions": [[0.2355, 0.7355, 0.5000], [0.0248, 0.0248, 0.0000], [0.7259, 0.2259, 0.5000], [0.5138, 0.5138, 0.0000]]}


The most stable of them is model z.


Model w:
{"formula": "MoP2W", "functional": "GGA-PBE", "state": "relaxed", "lattice_angstrom": [[-2.0251, 3.5069, -0.6584], [-2.5916, 1.4958, -2.8070], [-4.6176, -0.9890, 2.1430]], "species": ["Mo", "P", "P", "W"], "fractional_positions": [[0.2500, 0.2500, 0.2500], [0.0005, 0.0005, 0.9986], [0.4995, 0.4995, 0.5014], [0.7500, 0.7500, 0.7500]]}


Model x:
{"formula": "MoP2W", "functional": "GGA-PBE", "state": "relaxed", "lattice_angstrom": [[3.2194, 0.0000, 0.0000], [1.6097, 2.7881, 0.0000], [1.6097, 0.9294, 6.6083]], "species": ["Mo", "P", "P", "W"], "fractional_positions": [[0.6629, 0.6629, 0.0112], [0.0849, 0.0849, 0.7453], [0.2491, 0.2491, 0.2528], [0.5031, 0.5031, 0.4907]]}


The most stable of them is model x.


Model w:
{"formula": "MoP2W", "functional": "GGA-PBE", "state": "relaxed", "lattice_angstrom": [[7.5855, -0.0065, -0.0039], [6.9910, 2.9437, -0.0039], [6.9910, 1.4087, 2.5847]], "species": ["Mo", "P", "P", "W"], "fractional_positions": [[0.7500, 0.7500, 0.7500], [0.9999, 0.9999, 0.9999], [0.5001, 0.5001, 0.5001], [0.2500, 0.2500, 0.2500]]}


Model x:
{"formula": "MoP2W", "functional": "GGA-PBE", "state": "relaxed", "lattice_angstrom": [[-1.1183, 2.2117, 1.5731], [0.5115, -2.4906, 1.4671], [7.0394, 2.4032, 1.6255]], "species": ["Mo", "P", "P", "W"], "fractional_positions": [[0.5000, 0.5000, 0.7500], [0.0000, 0.0000, 0.9991], [0.0000, 0.0000, 0.5009], [0.5000, 0.5000, 0.2500]]}


The most stable of them is model w.